Entry 1:
A plane-wave DFT calculation with PBE was carried out for crystalline Ca2Cu2Pb at its relaxed geometry.

Unit cell a=5.583 b=5.583 c=5.583 alpha=117.90 beta=117.90 gamma=93.67
Sites, in units of the cell vectors:
Ca (0.250, 0.750, 0.500)
Ca (0.750, 0.250, 0.500)
Cu (0.149, 0.149, 0.000)
Cu (0.851, 0.851, 0.000)
Pb (0.500, 0.500, 0.000)

Output
Crystal system ... tetragonal
Magnetic moment ... 0.00 μB per formula unit
ΔH_f (0 K) ... -119.8 meV per atom

=====

Entry 2:
A plane-wave DFT calculation with PBE was carried out for crystalline Ca2CuPb at its relaxed geometry.

Unit cell a=8.889 b=8.889 c=8.889 alpha=25.90 beta=25.90 gamma=25.90
Sites, in units of the cell vectors:
Ca (0.238, 0.238, 0.238)
Ca (0.762, 0.762, 0.762)
Cu (0.500, 0.500, 0.500)
Pb (0.000, 0.000, 0.000)

Output
Crystal system ... trigonal
Magnetic moment ... 0.00 μB per formula unit
ΔH_f (0 K) ... -130.1 meV per atom

=====

Entry 3:
A plane-wave DFT calculation with PBE was carried out for crystalline Ca3CuPb2 at its relaxed geometry.

Unit cell a=12.677 b=4.692 c=11.831 alpha=90.00 beta=90.00 gamma=90.00
Sites, in units of the cell vectors:
Ca (0.050, 0.250, 0.125)
Ca (0.124, 0.750, 0.564)
Ca (0.222, 0.250, 0.805)
Ca (0.278, 0.750, 0.305)
Ca (0.376, 0.250, 0.064)
Ca (0.450, 0.750, 0.625)
Ca (0.550, 0.250, 0.375)
Ca (0.624, 0.750, 0.936)
Ca (0.722, 0.250, 0.695)
Ca (0.778, 0.750, 0.195)
Ca (0.876, 0.250, 0.436)
Ca (0.950, 0.750, 0.875)
Cu (0.121, 0.250, 0.382)
Cu (0.379, 0.750, 0.882)
Cu (0.621, 0.250, 0.118)
Cu (0.879, 0.750, 0.618)
Pb (0.017, 0.750, 0.314)
Pb (0.193, 0.750, 0.006)
Pb (0.307, 0.250, 0.506)
Pb (0.483, 0.250, 0.814)
Pb (0.517, 0.750, 0.186)
Pb (0.693, 0.750, 0.494)
Pb (0.807, 0.250, 0.994)
Pb (0.983, 0.250, 0.686)

Output
Crystal system ... orthorhombic
Magnetic moment ... 0.00 μB per formula unit
ΔH_f (0 K) ... -412.2 meV per atom